DFT (GGA-PBE) results for crystalline Rb2DyTmSe4 at its relaxed geometry.

## Properties
* magnetic moment: 0.00 μB per formula unit
* uncorrected formation energy: -13.9 eV/f.u.
* uncorrected energy: -4.850 eV/atom
* DOS at the Fermi energy: 0.000 states/eV per cell

Cell and atoms, written as extended XYZ:
```
8
Lattice="7.304 0.000 0.000 0.000 4.217 0.000 -2.432 0.000 7.988" Properties=species:S:1:pos:R:3 pbc="T T T"
Rb 0.000 0.000 0.000
Rb 3.652 2.109 0.000
Dy -1.216 2.109 3.994
Tm 2.436 0.000 3.994
Se 0.020 0.000 5.551
Se 1.239 2.109 2.446
Se 3.633 2.109 5.542
Se 4.851 0.000 2.437
```